First-principles (GGA+U) data for crystalline NbNiF2 at its relaxed geometry, as listed in Alexandria.

Values from the calculation:
SG ... R-3m (166)
Total DFT energy (no corrections) ... -5.303 eV per atom
Total magnetization ... 1.05 μB/f.u.
DOS(E_F) ... 0.339 states/eV/atom

```
NbNiF2
1.0
3.4833 -7.6864 2.4106
3.1688 -8.1780 -0.3227
5.4483 -6.8538 0.6057
Ni Nb F
1 1 2
direct
0.0000 0.0000 0.0000 Ni
0.5000 0.5000 0.5000 Nb
0.8930 0.8930 0.8930 F
0.1070 0.1070 0.1070 F
```